Below is crystalline Ba2SrAu at its relaxed geometry, with properties calculated at the PBE level.

- ΔE_f (meV/atom) = -296
- DOS at the Fermi energy (states/eV/atom) = 1.089

Cell and atoms, written as POSCAR:
```
Ba2SrAu
1.0
7.8731 0.0927 -0.0107
4.2933 6.6002 0.0107
-5.4145 -4.5621 3.4447
Au Ba Sr
1 2 1
direct
0.2500 0.7500 0.5000
0.0684 0.0684 0.0000
0.4316 0.4316 0.0000
0.7500 0.2500 0.5000
```

***

Below is crystalline Ho2Er2Mg5 at its relaxed geometry, with properties calculated at the PBE level.

- ΔE_f (meV/atom) = 88
- DOS at the Fermi energy (states/eV/atom) = 0.913

Cell and atoms, written as POSCAR:
```
Ho2Er2Mg5
1.0
11.2288 0.0000 0.0000
0.0000 6.3015 0.0000
-5.6144 -3.1507 6.9671
Ho Er Mg
4 4 10
direct
0.0000 0.0287 0.0000
0.5000 0.5287 0.0000
0.2608 0.3376 0.5000
0.7392 0.8376 0.5000
0.1265 0.6789 0.2461
0.8735 0.4328 0.7539
0.6196 0.1789 0.2461
0.3804 0.9328 0.7539
0.1934 0.6898 0.8809
0.8066 0.8089 0.1191
0.1875 0.1898 0.8809
0.8125 0.3089 0.1191
0.3866 0.9814 0.2896
0.6134 0.6918 0.7104
0.4030 0.4814 0.2896
0.5970 0.1918 0.7104
0.0140 0.6860 0.5000
0.9860 0.1860 0.5000
```

***

Below is crystalline TaTi2Re4 at its relaxed geometry, with properties calculated at the PBE level.

- ΔE_f (meV/atom) = 247
- DOS at the Fermi energy (states/eV/atom) = 1.067

Cell and atoms, written as POSCAR:
```
TaTi2Re4
1.0
5.0437 -0.0002 -1.7750
-2.5141 4.3635 -1.7968
-0.0001 0.0002 5.3469
Ta Ti Re
1 2 4
direct
0.0000 0.0000 0.0000
0.5000 0.5000 0.0000
0.5000 0.0000 0.5000
0.5000 0.0000 0.0000
0.5000 0.5000 0.5000
0.0000 0.0000 0.5000
0.0000 0.5000 0.0000
```

***

Below is crystalline Be2InP at its relaxed geometry, with properties calculated at the PBE level.

- ΔE_f (meV/atom) = 860
- DOS at the Fermi energy (states/eV/atom) = 0.438

Cell and atoms, written as POSCAR:
```
Be2InP
1.0
-3.7065 -1.8707 1.6327
-0.4545 -4.4380 -0.0216
0.1528 -2.2766 3.8336
P Be In
1 2 1
direct
0.2500 0.2500 0.2500
0.0000 0.0000 0.0000
0.7500 0.7500 0.7500
0.5000 0.5000 0.5000
```

***

Below is crystalline Tm8Ir2Ru at its relaxed geometry, with properties calculated at the PBE level.

- ΔE_f (meV/atom) = -459
- DOS at the Fermi energy (states/eV/atom) = 0.838

Cell and atoms, written as POSCAR:
```
Tm8Ir2Ru
1.0
5.6068 0.0496 -0.9465
-1.8653 6.6693 -2.8010
-0.0716 -0.1053 7.4691
Tm Ir Ru
8 2 1
direct
0.5811 0.3332 0.0788
0.5811 0.0788 0.3332
0.1778 0.3621 0.3621
0.9909 0.2156 0.7843
0.9909 0.7843 0.2156
0.8073 0.6444 0.6444
0.3896 0.9283 0.6733
0.3896 0.6733 0.9283
0.4953 0.6947 0.3178
0.4953 0.3178 0.6947
0.1009 0.0015 0.0015
```

***

Below is crystalline HgI2ClF at its relaxed geometry, with properties calculated at the PBE level.

- raw formation energy (meV/atom) = 82.9
- DOS at the Fermi energy (states/eV/atom) = 2.209

Cell and atoms, written as POSCAR:
```
HgI2ClF
1.0
-2.5385 -2.7019 -4.5914
0.0876 -4.4422 2.5657
-5.3264 1.1911 2.2440
I F Hg Cl
2 1 1 1
direct
0.0000 0.0000 0.5000
0.5000 0.0000 0.0000
0.5000 0.5000 0.5000
0.0000 0.0000 0.0000
0.0000 0.5000 0.0000
```

***

- Among the records above, which one has the lowest DOS at the Fermi energy?
  Be2InP

***

- What is the formula in the sixth record?
  HgI2ClF

***

- Which of these has the highest DOS at the Fermi energy?
  HgI2ClF